No. 1
Density functional theory data (PBE) for crystalline PrUZn17 at its relaxed geometry.

Cell: 6.826 6.826 6.826 Å, 82.77 82.77 82.77°
Element x y z (fractional)
Zn (0.102, 0.102, 0.102)
Zn (0.903, 0.903, 0.903)
Zn (0.501, 0.000, 0.000)
Zn (0.645, 0.645, 0.165)
Zn (0.000, 0.501, 0.000)
Zn (0.705, 0.001, 0.294)
Zn (0.294, 0.705, 0.001)
Zn (0.705, 0.294, 0.001)
Zn (0.000, 0.000, 0.501)
Zn (0.349, 0.349, 0.844)
Zn (0.001, 0.705, 0.294)
Zn (0.165, 0.645, 0.645)
Zn (0.645, 0.165, 0.645)
Zn (0.294, 0.001, 0.705)
Zn (0.001, 0.294, 0.705)
Zn (0.844, 0.349, 0.349)
Zn (0.349, 0.844, 0.349)
Pr (0.663, 0.663, 0.663)
U (0.335, 0.335, 0.335)

Output
Formation energy from the elements (eV/atom): -0.15
Volume (A^3/atom): 16.374
Symmetry: R3m, No. 160

---

No. 2
Density functional theory data (PBE) for crystalline PrZr2U at its relaxed geometry.

Cell: 3.214 3.214 11.820 Å, 82.19 82.19 60.00°
Element x y z (fractional)
Zr (0.092, 0.092, 0.724)
Zr (0.908, 0.908, 0.276)
Pr (0.000, 0.000, 0.000)
U (0.500, 0.500, 0.500)

Output
Formation energy from the elements (eV/atom): 0.41
Volume (A^3/atom): 26.105
Symmetry: R-3m, No. 166

---

No. 3
Density functional theory data (PBE) for crystalline PrV3 at its relaxed geometry.

Cell: 3.014 4.048 6.495 Å, 90.00 90.00 90.00°
Element x y z (fractional)
Pr (0.000, 0.500, 0.312)
V (0.000, 0.000, 0.918)
V (0.500, 0.000, 0.612)
V (0.500, 0.500, 0.825)

Output
Formation energy from the elements (eV/atom): 0.59
Volume (A^3/atom): 19.808
Symmetry: Pmm2, No. 25

---

No. 4
Density functional theory data (PBE) for crystalline PrV4 at its relaxed geometry.

Cell: 4.689 4.689 4.689 Å, 90.00 90.00 90.00°
Element x y z (fractional)
V (0.500, 0.000, 0.500)
V (0.500, 0.500, 0.000)
V (0.000, 0.500, 0.500)
V (0.000, 0.000, 0.000)
Pr (0.500, 0.500, 0.500)

Output
Formation energy from the elements (eV/atom): 2.15
Volume (A^3/atom): 20.617
Symmetry: Pm-3m, No. 221